First-principles (PBE) data for a relaxed SnPd2Rh crystal, as listed in Alexandria.

Unit cell a=4.494 b=4.494 c=4.494 alpha=119.33 beta=119.33 gamma=91.17
Positions (direct):
Sn 0.000 0.000 0.000
Pd 0.250 0.750 0.500
Pd 0.500 0.500 0.000
Rh 0.750 0.250 0.500

Computed properties:
Its total magnetic moment is 0.00 μB/atom. The crystal system is tetragonal. The value obtained for the energy is -23.2 eV for the cell shown. For the density of states at the Fermi level, the calculation gives 1.717 states/eV/f.u. Its space group is I-4m2, No. 119.